Below is a geometry-optimized LiTe3Pt structure, with properties calculated at the GGA-PBE level.

Properties
- Formation energy from raw total energies: 0.078 eV/atom
- Size of the total moment: 0.00 μB per formula unit

```
data_LiTe3Pt
_space_group_name_H-M_alt 'P m -3 m'
_space_group_IT_number 221
_space_group_name_Hall '-P 4 2 3'
_cell_length_a 5.3939
_cell_length_b 5.3939
_cell_length_c 5.3939
_cell_angle_alpha 90.00
_cell_angle_beta 90.00
_cell_angle_gamma 90.00
loop_
_atom_site_label
_atom_site_type_symbol
_atom_site_fract_x
_atom_site_fract_y
_atom_site_fract_z
_atom_site_occupancy
Li1 Li 0.0000 0.0000 0.0000 1
Te1 Te 0.0000 0.5000 0.5000 1
Pt1 Pt 0.5000 0.5000 0.5000 1
```

Below is a geometry-optimized LiIn2Mo structure, with properties calculated at the GGA-PBE level.

Properties
- ΔH_f (0 K): 224.4 meV/atom
- Size of the total moment: 1.77 μB per formula unit

```
data_LiIn2Mo
_space_group_name_H-M_alt 'F m -3 m'
_space_group_IT_number 225
_space_group_name_Hall '-F 4 2 3'
_cell_length_a 6.7179
_cell_length_b 6.7179
_cell_length_c 6.7179
_cell_angle_alpha 90.00
_cell_angle_beta 90.00
_cell_angle_gamma 90.00
loop_
_atom_site_label
_atom_site_type_symbol
_atom_site_fract_x
_atom_site_fract_y
_atom_site_fract_z
_atom_site_occupancy
Li1 Li 0.0000 0.0000 0.0000 1
In1 In 0.2500 0.2500 0.2500 1
Mo1 Mo 0.0000 0.0000 0.5000 1
```

Below is a geometry-optimized HfRh3Se structure, with properties calculated at the GGA-PBE level.

Properties
- Formation energy from raw total energies: 0.909 eV/atom
- Size of the total moment: 0.00 μB per formula unit

```
data_HfRh3Se
_space_group_name_H-M_alt 'P m -3 m'
_space_group_IT_number 221
_space_group_name_Hall '-P 4 2 3'
_cell_length_a 4.7843
_cell_length_b 4.7843
_cell_length_c 4.7843
_cell_angle_alpha 90.00
_cell_angle_beta 90.00
_cell_angle_gamma 90.00
loop_
_atom_site_label
_atom_site_type_symbol
_atom_site_fract_x
_atom_site_fract_y
_atom_site_fract_z
_atom_site_occupancy
Hf1 Hf 0.0000 0.0000 0.0000 1
Rh1 Rh 0.0000 0.0000 0.5000 1
Se1 Se 0.5000 0.5000 0.5000 1
```

Below is a geometry-optimized Zr2InW structure, with properties calculated at the GGA-PBE level.

Properties
- ΔH_f (0 K): 130.8 meV/atom
- Size of the total moment: 0.00 μB per formula unit

```
data_Zr2InW
_space_group_name_H-M_alt 'P 4 m m'
_space_group_IT_number 99
_cell_length_a 3.5476
_cell_length_b 3.5476
_cell_length_c 6.5086
_cell_angle_alpha 90.00
_cell_angle_beta 90.00
_cell_angle_gamma 90.00
loop_
_space_group_symop_operation_xyz
'x,y,z'
'-y,x,z'
'-x,-y,z'
'y,-x,z'
'-x,y,z'
'y,x,z'
'x,-y,z'
'-y,-x,z'
loop_
_atom_site_label
_atom_site_type_symbol
_atom_site_fract_x
_atom_site_fract_y
_atom_site_fract_z
_atom_site_occupancy
Zr1 Zr 0.0000 0.0000 0.0000 1
Zr2 Zr 0.5000 0.5000 0.2663 1
In1 In 0.0000 0.0000 0.5355 1
W1 W 0.5000 0.5000 0.7805 1
```

Below is a geometry-optimized PmPaTeO6 structure, with properties calculated at the GGA-PBE level.

Properties
- Formation energy from raw total energies: -2.619 eV/atom
- Size of the total moment: 0.00 μB per formula unit

```
data_PmPaTeO6
_space_group_name_H-M_alt 'P -3 1 c'
_space_group_IT_number 163
_space_group_name_Hall '-P 3 2c'
_cell_length_a 5.8030
_cell_length_b 5.8030
_cell_length_c 9.7978
_cell_angle_alpha 90.00
_cell_angle_beta 90.00
_cell_angle_gamma 120.00
loop_
_atom_site_label
_atom_site_type_symbol
_atom_site_fract_x
_atom_site_fract_y
_atom_site_fract_z
_atom_site_occupancy
Pm1 Pm 0.0000 0.0000 0.0000 1
Pa1 Pa 0.3333 0.6667 0.2500 1
Te1 Te 0.3333 0.6667 0.7500 1
O1 O 0.0007 0.3466 0.1366 1
```

Below is a geometry-optimized YbGa6 structure, with properties calculated at the GGA-PBE level.

Properties
- ΔH_f (0 K): -285.9 meV/atom
- Size of the total moment: 0.18 μB per formula unit

```
data_YbGa6
_space_group_name_H-M_alt 'P 4/n b m'
_space_group_IT_number 125
_cell_length_a 5.9681
_cell_length_b 5.9681
_cell_length_c 7.7076
_cell_angle_alpha 90.00
_cell_angle_beta 90.00
_cell_angle_gamma 90.00
loop_
_space_group_symop_operation_xyz
'x,y,z'
'-x,-y,-z'
'-y+1/2,x,z'
'y+1/2,-x,-z'
'-x+1/2,-y+1/2,z'
'x+1/2,y+1/2,-z'
'y,-x+1/2,z'
'-y,x+1/2,-z'
'x,-y+1/2,-z'
'-x,y+1/2,z'
'-y+1/2,-x+1/2,-z'
'y+1/2,x+1/2,z'
'-x+1/2,y,-z'
'x+1/2,-y,z'
'y,x,-z'
'-y,-x,z'
loop_
_atom_site_label
_atom_site_type_symbol
_atom_site_fract_x
_atom_site_fract_y
_atom_site_fract_z
_atom_site_occupancy
Yb1 Yb 0.2500 0.7500 0.0000 1
Ga1 Ga 0.0693 0.5693 0.3527 1
Ga2 Ga 0.2500 0.2500 0.1613 1
```